# 1
Here is a relaxed structure of BeCo2Tc from Alexandria. Energies are from PBE.

Magnetic moment = 0.00 μB/cell
Relative energy among the computed polymorphs = 0.0000 eV per atom
Calculated density = 8.826 Mg/m³
Calculated formation energy = -167.9 meV/atom
DFT total energy = -7.2439 eV per atom
Volume = 10.58 Å³/atom

Cell lengths 2.616, 2.616, 6.181 Å; angles 90.00, 90.00, 90.00 degrees
Atoms (fractional coordinates):
Tc1 0.500 0.500 0.250
Be1 0.500 0.500 0.750
Co1 0.000 0.000 0.537
Co2 0.000 0.000 0.963

---

# 2
Here is a relaxed structure of CePmY from Alexandria. Energies are from PBE.

Magnetic moment = 1.20 μB/cell
Relative energy among the computed polymorphs = 0.0555 eV per atom
Calculated density = 6.431 Mg/m³
Calculated formation energy = 133.9 meV/atom
DFT total energy = -5.5823 eV per atom
Volume = 32.19 Å³/atom

Cell lengths 6.466, 6.466, 9.486 Å; angles 135.15, 135.15, 52.87 degrees
Atoms (fractional coordinates):
Ce1 0.906 0.906 0.790
Ce2 0.094 0.094 0.210
Pm1 0.585 0.585 0.761
Pm2 0.415 0.415 0.239
Y1 0.241 0.241 0.723
Y2 0.759 0.759 0.277

---

# 3
Here is a relaxed structure of AcTlPb6 from Alexandria. Energies are from PBE.

Magnetic moment = 0.00 μB/cell
Calculated density = 10.874 Mg/m³
Calculated formation energy = -155.0 meV/atom
DFT total energy = -3.7456 eV per atom
Volume = 31.97 Å³/atom

Cell lengths 5.054, 7.113, 7.113 Å; angles 90.01, 90.00, 90.00 degrees
Atoms (fractional coordinates):
Pb1 0.000 0.260 0.740
Ac1 0.500 0.000 0.000
Pb2 0.500 0.000 0.500
Pb3 0.000 0.740 0.740
Pb4 0.000 0.260 0.260
Pb5 0.500 0.500 0.000
Tl1 0.500 0.500 0.500
Pb6 0.000 0.740 0.260